# Sm3HoTh4Se8

Sm3HoTh4Se8 after structural relaxation (PBE-GGA, the Alexandria database).

a b c (Å): 8.203 8.491 8.203
angles (deg): 118.87 120.00 90.00
Element x y z (fractional)
Sm1 0.500 0.500 0.000
Sm2 0.500 0.500 0.500
Sm3 0.000 0.500 0.500
Ho1 0.000 0.500 0.000
Th1 0.500 0.000 0.000
Th2 0.500 0.000 0.500
Th3 0.000 0.000 0.000
Th4 0.000 0.000 0.500
Se1 0.244 0.739 0.995
Se2 0.244 0.739 0.488
Se3 0.252 0.257 0.505
Se4 0.751 0.739 0.995
Se5 0.249 0.261 0.005
Se6 0.748 0.743 0.495
Se7 0.756 0.261 0.512
Se8 0.756 0.261 0.005

**Total moment**: 0.0 μB per cell
**Energy relative to the elements, uncorrected**: -1662 meV per atom
**Calculated density**: 8795 kg/m3